Compound: Cs2LaErS4
Source: OQMD
Functional: PBE
Structure: optimized geometry

The symmetry is P-3m1 (164). The value obtained for the energy is -5.306 eV/atom.

a = 4.2023 Å, b = 4.2023 Å, c = 16.0588 Å
α = 90.00°, β = 90.00°, γ = 120.00°
Fractional coordinates of all 8 atoms:
Cs (0.3333, 0.6667, 0.2463)
Cs (0.6667, 0.3333, 0.7537)
La (0.0000, 0.0000, 0.5000)
Er (0.0000, 0.0000, 0.0000)
S (0.3333, 0.6667, 0.5980)
S (0.3333, 0.6667, 0.9134)
S (0.6667, 0.3333, 0.0866)
S (0.6667, 0.3333, 0.4020)


Compound: GdTmGa3Si2
Source: OQMD
Functional: PBE
Structure: optimized geometry

The symmetry is Cm (8). The value obtained for the energy is -4.691 eV/atom.

a = 5.5143 Å, b = 5.5143 Å, c = 6.5940 Å
α = 100.38°, β = 100.38°, γ = 43.15°
Fractional coordinates of all 7 atoms:
Gd (0.0000, 0.0000, 0.0000)
Tm (0.2378, 0.2378, 0.6317)
Ga (0.3151, 0.3151, 0.1777)
Ga (0.6214, 0.6214, 0.3182)
Ga (0.9225, 0.9225, 0.4573)
Si (0.5250, 0.5250, 0.6801)
Si (0.7124, 0.7124, 0.9458)


Compound: GdMgZn
Source: OQMD
Functional: PBE
Structure: optimized geometry

The symmetry is P1 (1). The value obtained for the energy is -2.668 eV/atom.

a = 6.3382 Å, b = 6.3643 Å, c = 7.9532 Å
α = 73.84°, β = 74.33°, γ = 64.94°
Fractional coordinates of all 12 atoms:
Gd (0.0000, 0.0000, 0.0000)
Gd (0.0846, 0.1277, 0.4109)
Gd (0.5785, 0.6257, 0.3433)
Gd (0.7694, 0.7763, 0.6667)
Mg (0.0157, 0.4891, 0.0185)
Mg (0.2748, 0.3004, 0.6629)
Mg (0.4761, 0.0418, 0.0049)
Mg (0.5904, 0.1499, 0.3126)
Zn (0.1104, 0.6211, 0.3225)
Zn (0.2923, 0.7332, 0.7112)
Zn (0.5009, 0.5326, 0.0075)
Zn (0.7065, 0.3119, 0.7145)